Entry 1:
10
Lattice="3.596 0.000 0.000 0.000 3.596 0.000 0.000 0.000 20.906" Properties=species:S:1:pos:R:3 comment="CeY4In5 | Alexandria | PBE | relaxed" formation_enthalpy_0k_mev_per_atom=-467 mass_density_g_cm3=6.57 n_ef_per_ev_cell=11.67 spacegroup=P4/mmm crystal_system=tetragonal pbc="T T T"
Ce 0.000 0.000 0.000
Y 0.000 0.000 4.265
Y 0.000 0.000 8.387
Y 0.000 0.000 12.520
Y 0.000 0.000 16.641
In 1.798 1.798 2.192
In 1.798 1.798 6.321
In 1.798 1.798 10.453
In 1.798 1.798 14.585
In 1.798 1.798 18.715

Entry 2:
8
Lattice="-6.165 3.029 -3.957 -7.163 -2.290 1.635 -4.060 3.330 4.989" Properties=species:S:1:pos:R:3 comment="TiPdI6 | Alexandria | PBE | relaxed" e_form_raw_ev_per_atom=-0.467 mass_density_g_cm3=4.70 spacegroup=C2/m crystal_system=monoclinic pbc="T T T"
Ti 0.000 0.000 0.000
Pd -6.664 0.370 -1.161
I -10.446 3.554 1.196
I -6.685 3.020 -1.186
I -10.703 1.050 3.853
I -6.942 0.516 1.471
I -10.705 0.567 -1.836
I -2.623 0.172 -0.486

Entry 3:
20
Lattice="-5.891 -2.276 -3.084 4.317 -7.256 -2.893 -3.202 -2.488 7.951" Properties=species:S:1:pos:R:3 comment="Dy3TeSe6 | Alexandria | PBE | relaxed" e_form_raw_ev_per_atom=-1.305 mass_density_g_cm3=6.65 n_ef_per_ev_cell=8.33 spacegroup=Cmc2_1 crystal_system=orthorhombic pbc="T T T"
Dy -1.245 -9.521 1.498
Dy -5.702 -9.700 2.137
Dy -2.341 -5.316 2.313
Dy -3.962 -7.293 -1.139
Dy -6.400 -3.606 -1.027
Dy -1.942 -3.427 -1.665
Te -7.636 -5.498 3.130
Te 0.286 -7.516 -2.504
Se -0.056 -7.078 2.403
Se -3.556 -7.863 1.662
Se -2.249 -5.878 5.202
Se -1.734 -9.210 -1.330
Se -4.567 -3.085 7.101
Se -5.063 -4.992 3.537
Se 1.902 -6.403 -0.718
Se -0.131 -8.904 -5.086
Se -2.619 -2.646 3.525
Se -2.104 -5.979 -3.007
Se -0.425 -3.849 0.727
Se -3.926 -4.635 -0.014

Entry 4:
5
Lattice="-4.791 0.471 -1.073 -0.849 -4.156 1.965 -0.756 2.208 4.345" Properties=species:S:1:pos:R:3 comment="KSiMo2Ru | Alexandria | PBE | relaxed" e_form_raw_ev_per_atom=1.261 mass_density_g_cm3=5.26 n_ef_per_ev_cell=4.44 spacegroup=P4/mmm crystal_system=tetragonal pbc="T T T"
Ru 0.000 0.000 0.000
Mo -0.378 1.104 2.172
Mo -2.395 0.236 -0.536
Si -0.424 -2.078 0.982
K -3.197 -0.738 2.618

Entry 5:
4
Lattice="3.584 0.000 0.000 0.000 3.584 0.000 0.000 0.000 6.654" Properties=species:S:1:pos:R:3 comment="Hf2ScTi | Alexandria | PBE | relaxed" de_polymorph_mev_per_atom=73 formation_enthalpy_0k_mev_per_atom=143 mass_density_g_cm3=8.74 n_ef_per_ev_cell=6.17 spacegroup=P4/mmm crystal_system=tetragonal pbc="T T T"
Sc 1.792 1.792 3.327
Hf 0.000 0.000 5.195
Hf 0.000 0.000 1.459
Ti 1.792 1.792 0.000

Entry 6:
6
Lattice="-1.118 -3.393 -2.097 4.743 -1.573 -0.291 1.002 -4.469 4.260" Properties=species:S:1:pos:R:3 comment="CuSeS | Alexandria | PBE | relaxed" de_polymorph_mev_per_atom=93 e_form_raw_ev_per_atom=0.025 mass_density_g_cm3=4.85 n_ef_per_ev_cell=2.76 spacegroup=P1 crystal_system=triclinic pbc="T T T"
S 3.251 -5.596 0.240
S 0.457 -4.283 1.181
Cu 4.189 -2.798 0.162
Cu 2.415 -7.200 1.902
Se 1.875 -1.651 -0.188
Se 0.170 -6.219 2.357

Entry 7:
12
Lattice="-4.801 2.506 -1.590 0.181 -3.223 4.756 2.499 8.366 5.571" Properties=species:S:1:pos:R:3 comment="Bi2Pt3Pb | Alexandria | PBE | relaxed" formation_enthalpy_0k_mev_per_atom=-110 mass_density_g_cm3=13.90 n_ef_per_ev_cell=5.91 spacegroup=C2/m crystal_system=monoclinic pbc="T T T"
Bi -0.375 2.898 5.451
Bi -1.391 -1.325 2.630
Bi -0.730 8.974 6.108
Bi -1.746 4.752 3.287
Pt -0.267 4.537 8.293
Pt -1.854 3.112 0.445
Pt -2.916 6.885 4.776
Pt -0.357 6.148 5.914
Pt -1.764 1.501 2.823
Pt 0.794 0.764 3.962
Pb 0.749 2.528 1.685
Pb -2.870 5.122 7.052

Entry 8:
5
Lattice="3.859 0.000 0.000 0.000 3.859 0.000 0.000 0.000 4.067" Properties=species:S:1:pos:R:3 comment="NiAgHRh2 | Alexandria | PBE | relaxed" de_polymorph_mev_per_atom=64 mass_density_g_cm3=10.24 n_ef_per_ev_cell=5.20 spacegroup=P4/mmm crystal_system=tetragonal pbc="T T T"
Ni 1.930 1.930 2.033
Rh 0.000 1.930 0.000
Rh 1.930 0.000 0.000
Ag 0.000 0.000 2.033
H 0.000 0.000 0.000

Entry 9:
12
Lattice="6.382 -0.004 0.008 -3.193 5.526 0.008 -1.080 -1.870 11.943" Properties=species:S:1:pos:R:3 comment="La3Pr6Dy2Tm | Alexandria | PBE | relaxed" formation_enthalpy_0k_mev_per_atom=19 mass_density_g_cm3=6.92 n_ef_per_ev_cell=18.63 spacegroup=C2/m crystal_system=monoclinic pbc="T T T"
La -2.136 3.669 5.980
La 4.245 -0.017 5.980
La 1.054 1.826 5.980
Pr 3.175 1.819 9.049
Pr 2.124 3.678 2.920
Pr -1.066 1.833 2.910
Pr -0.011 3.659 9.049
Pr -0.015 -0.026 9.039
Pr 2.120 -0.007 2.910
Dy -0.001 3.683 0.008
Dy 3.190 1.839 0.008
Tm 0.000 0.000 0.000

Entry 10:
80
Lattice="6.862 0.000 0.000 0.000 11.940 -0.079 0.000 4.130 13.263" Properties=species:S:1:pos:R:3 comment="Rb2TeH6SeO10 | Alexandria | PBE | relaxed" mass_density_g_cm3=3.32 n_ef_per_ev_cell=0.00 e_tot_ev_per_fu=-101.49 spacegroup=P2_1/c crystal_system=monoclinic pbc="T T T"
Rb 3.561 10.539 8.400
Rb 6.731 4.568 8.440
Rb 0.026 7.652 1.818
Rb 6.836 8.418 11.366
Rb 0.130 11.502 4.743
Rb 3.405 1.682 1.858
Rb 3.300 5.532 4.783
Rb 3.457 14.389 11.326
Te 0.000 0.000 0.000
Te 3.431 5.970 -0.040
Te 0.000 8.035 6.592
Te 3.431 2.065 6.631
H 4.680 8.812 5.594
H 3.506 7.805 12.167
H 5.185 7.609 8.378
H 5.106 4.758 1.367
H 3.823 12.020 5.109
H 5.108 13.579 8.338
H 6.470 6.050 5.148
H 6.786 13.775 12.127
H 4.817 11.209 11.483
H 2.044 4.862 1.701
H 2.181 7.259 7.589
H 1.387 10.832 1.661
H 5.186 10.728 1.328
H 1.250 13.229 7.550
H 1.756 11.313 11.816
H 1.677 8.462 4.805
H 5.612 2.842 5.634
H 3.355 8.266 1.017
H 1.675 5.343 11.856
H 3.039 4.050 8.075
H 5.475 5.239 11.522
H 0.392 10.021 8.035
H 1.754 2.492 4.845
H 0.076 2.296 1.056
Se 3.360 6.280 9.917
Se 3.502 9.791 3.267
Se 6.791 3.821 3.306
Se 0.071 12.250 9.877
O 6.079 4.441 11.496
O 0.783 11.630 1.687
O 4.375 12.457 5.833
O 4.213 10.411 11.457
O 5.178 5.274 0.501
O 0.674 8.479 4.805
O 6.808 13.449 8.698
O 0.944 9.584 7.310
O 1.874 12.862 6.857
O 1.766 6.179 10.420
O 3.012 11.275 3.870
O 4.988 3.208 6.327
O 3.377 8.592 4.446
O 2.813 8.332 12.669
O 4.048 7.738 0.515
O 5.197 3.922 2.803
O 5.095 9.892 2.764
O 6.244 1.768 0.555
O 0.617 14.303 12.629
O 1.684 10.796 12.682
O 5.918 12.627 11.171
O 2.486 3.614 7.350
O 5.115 11.244 0.462
O 1.557 6.892 6.896
O 2.757 2.509 4.845
O 3.485 7.478 8.738
O 5.917 6.487 5.873
O 1.664 12.149 10.380
O 3.850 4.796 9.314
O 2.648 5.660 1.727
O 4.104 13.562 8.339
O 0.054 2.622 4.485
O 2.487 9.414 1.973
O 5.305 9.179 6.287
O 0.943 3.444 2.012
O 0.419 5.305 3.909
O 4.374 6.657 11.211
O 1.747 4.826 12.722
O 6.188 7.592 8.378
O 6.442 10.766 9.274

Entry 11:
8
Lattice="-0.021 1.101 3.799 -2.826 -1.328 2.429 3.935 -6.834 4.061" Properties=species:S:1:pos:R:3 comment="ThBe2AlCu4 | Alexandria | PBE | relaxed" formation_enthalpy_0k_mev_per_atom=-92 mass_density_g_cm3=7.59 n_ef_per_ev_cell=4.25 spacegroup=R-3m crystal_system=trigonal pbc="T T T"
Th 0.000 0.000 0.000
Be 0.555 -4.934 7.611
Be 0.533 -2.126 2.679
Al 0.544 -3.530 5.145
Cu 1.908 -5.418 5.699
Cu -1.015 -2.761 6.973
Cu 2.104 -4.300 3.317
Cu -0.819 -1.643 4.591

Entry 12:
10
Lattice="10.543 0.000 0.000 0.000 10.543 0.000 0.000 0.000 3.633" Properties=species:S:1:pos:R:3 comment="Rb2YMg2 | Alexandria | PBE | relaxed" de_polymorph_mev_per_atom=59 formation_enthalpy_0k_mev_per_atom=575 mass_density_g_cm3=2.54 n_ef_per_ev_cell=12.72 spacegroup=P4/mbm crystal_system=tetragonal pbc="T T T"
Y 0.000 0.000 0.000
Y 5.272 5.272 0.000
Mg 1.902 7.174 1.816
Mg 7.174 8.641 1.816
Mg 8.641 3.370 1.816
Mg 3.370 1.902 1.816
Rb 3.954 9.225 0.000
Rb 9.225 6.589 0.000
Rb 6.589 1.318 0.000
Rb 1.318 3.954 0.000